(1)
P5Se: optimized geometry, PBE.

Results
**Volume**: 19.1 A^3/atom
**DOS at the Fermi energy**: 0.393 states/eV per atom
**Raw formation energy**: 0.677 eV per atom
**E above lowest polymorph**: 0.445 eV per atom
**Space group**: P4/mmm, No. 123

a b c (Å): 2.861 2.861 14.017
angles (deg): 90.00 90.00 90.00
Atoms (fractional coordinates):
P (0.000, 0.000, 0.000)
P (0.000, 0.000, 0.260)
P (0.000, 0.000, 0.740)
P (0.500, 0.500, 0.176)
P (0.500, 0.500, 0.824)
Se (0.500, 0.500, 0.500)

(2)
P3Se: optimized geometry, PBE.

Results
**Volume**: 17.8 A^3/atom
**DOS at the Fermi energy**: 0.303 states/eV per atom
**Raw formation energy**: 0.233 eV per atom
**E above lowest polymorph**: 0.105 eV per atom
**Space group**: Pmm2, No. 25

a b c (Å): 2.622 3.424 7.909
angles (deg): 90.00 90.00 90.00
Atoms (fractional coordinates):
P (0.000, 0.000, 0.000)
P (0.000, 0.000, 0.433)
P (0.000, 0.500, 0.238)
Se (0.000, 0.500, 0.771)

(3)
P3Se: optimized geometry, PBE.

Results
**Volume**: 19.8 A^3/atom
**DOS at the Fermi energy**: 0.264 states/eV per atom
**Raw formation energy**: 0.218 eV per atom
**E above lowest polymorph**: 0.090 eV per atom
**Space group**: Pm, No. 6

a b c (Å): 4.191 3.450 5.801
angles (deg): 90.00 108.79 90.00
Atoms (fractional coordinates):
P (0.000, 0.000, 0.000)
P (0.272, 0.500, 0.742)
P (0.552, 0.000, 0.647)
Se (0.797, 0.500, 0.200)

(4)
P4Se3: optimized geometry, PBE.

Results
**Volume**: 21.4 A^3/atom
**DOS at the Fermi energy**: 0.758 states/eV per atom
**Raw formation energy**: 0.792 eV per atom
**E above lowest polymorph**: 0.847 eV per atom
**Space group**: P6/mmm, No. 191

a b c (Å): 6.659 6.659 3.904
angles (deg): 90.00 90.00 120.00
Atoms (fractional coordinates):
P (0.000, 0.000, 0.244)
P (0.000, 0.000, 0.756)
P (0.333, 0.667, 0.000)
P (0.667, 0.333, 0.000)
Se (0.000, 0.500, 0.500)
Se (0.500, 0.000, 0.500)
Se (0.500, 0.500, 0.500)